Computed, not measured: a relaxed structure of NaMgMo2Ir at the PBE level of DFT.

Summary:
DFT total energy ... -4.476 eV per atom
Energy of formation ... 2.212 eV per atom
Calculated density ... 7.40 g/cm3

Geometry as CIF:
```
data_NaMgMo2Ir
_cell_length_a 4.5672
_cell_length_b 4.5672
_cell_length_c 4.6389
_cell_angle_alpha 90.00
_cell_angle_beta 90.00
_cell_angle_gamma 90.00
_symmetry_space_group_name_H-M 'P 4/m m m'
_symmetry_Int_Tables_number 123
_symmetry_space_group_name_Hall '-P 4 2'
loop_
_atom_site_label
_atom_site_type_symbol
_atom_site_fract_x
_atom_site_fract_y
_atom_site_fract_z
Na1 Na 0.0000 0.0000 0.0000
Mg1 Mg 0.5000 0.5000 0.5000
Mo1 Mo 0.0000 0.5000 0.0000
Ir1 Ir 0.0000 0.0000 0.5000
```